Record 1
The following is a DFT calculation (GGA-PBE) of an optimized crystal structure of NaPrTm2.

```
NaPrTm2
1.0
3.591 0.000 0.000
0.000 3.591 0.000
0.000 0.000 10.374
Na Pr Tm
1 1 2
Cartesian
0.000 0.000 0.000
0.000 0.000 5.187
1.795 1.795 2.766
1.795 1.795 7.608
```

Values from the calculation:
ΔE to the lowest computed polymorph   0.000 eV per atom
SG   No. 123
DFT formation energy   0.173 eV per atom


Record 2
The following is a DFT calculation (GGA-PBE) of an optimized crystal structure of SrBi4Pd12.

```
SrBi4Pd12
1.0
-4.578 4.578 4.578
4.578 -4.578 4.578
4.578 4.578 -4.578
Sr Bi Pd
1 4 12
Cartesian
0.000 0.000 0.000
2.289 2.289 -2.289
2.289 -2.289 2.289
-2.289 2.289 2.289
2.289 2.289 2.289
3.257 0.000 1.358
5.899 0.000 1.358
4.578 3.220 -1.321
1.358 3.257 0.000
3.220 -1.321 4.578
4.578 3.220 1.321
0.000 1.358 3.257
1.358 5.899 0.000
3.220 1.321 4.578
0.000 1.358 5.899
-1.321 4.578 3.220
1.321 4.578 3.220
```

Values from the calculation:
SG   No. 204
DFT formation energy   0.038 eV per atom


Record 3
The following is a DFT calculation (GGA-PBE) of an optimized crystal structure of TbSmY2.

```
TbSmY2
1.0
0.000 4.041 4.041
4.041 0.000 4.041
4.041 4.041 0.000
Tb Sm Y
1 1 2
Cartesian
0.000 0.000 0.000
4.041 4.041 4.041
2.020 2.020 2.020
6.061 6.061 6.061
```

Values from the calculation:
ΔE to the lowest computed polymorph   0.116 eV per atom
SG   No. 225
DFT formation energy   0.126 eV per atom


Record 4
The following is a DFT calculation (GGA-PBE) of an optimized crystal structure of KPt3.

```
KPt3
1.0
-2.099 2.099 4.125
2.099 -2.099 4.125
2.099 2.099 -4.125
K Pt
1 3
Cartesian
0.000 0.000 0.000
2.099 0.000 2.063
0.000 0.000 4.125
0.000 2.099 2.063
```

Values from the calculation:
ΔE to the lowest computed polymorph   0.659 eV per atom
SG   No. 139
DFT formation energy   0.509 eV per atom


Record 5
The following is a DFT calculation (GGA-PBE) of an optimized crystal structure of LaMgCo2.

```
LaMgCo2
1.0
-1.598 2.294 5.032
1.598 -2.294 5.032
1.598 2.294 -5.032
La Mg Co
1 1 2
Cartesian
0.000 0.000 0.000
1.598 0.000 2.879
0.000 0.000 5.414
0.000 2.294 2.191
```

Values from the calculation:
SG   No. 44
DFT formation energy   0.182 eV per atom


Record 6
The following is a DFT calculation (GGA-PBE) of an optimized crystal structure of BaSiSbI2.

```
BaSiSbI2
1.0
5.699 0.000 0.000
0.000 5.699 0.000
0.000 0.000 5.527
Ba Si Sb I
1 1 1 2
Cartesian
0.000 0.000 0.000
2.849 2.849 2.764
2.849 2.849 0.000
0.000 2.849 2.764
2.849 0.000 2.764
```

Values from the calculation:
Formation energy from raw total energies   -39.6 kJ/mol of atoms
ΔE to the lowest computed polymorph   0.000 eV per atom
SG   No. 123


Record 7
The following is a DFT calculation (GGA-PBE) of an optimized crystal structure of SrLi6Hg6.

```
SrLi6Hg6
1.0
-2.785 4.822 5.065
2.785 -4.822 5.065
2.785 4.822 -5.065
Sr Li Hg
1 6 6
Cartesian
0.000 0.000 0.000
1.392 2.411 -2.532
1.392 -2.411 2.532
2.785 2.322 0.000
-1.392 2.411 2.532
1.392 2.411 2.532
0.000 2.500 5.065
2.785 0.000 1.885
0.000 3.264 0.000
0.000 0.000 3.494
0.000 0.000 6.635
0.000 6.380 0.000
0.000 4.822 3.180
```

Values from the calculation:
SG   No. 71
DFT formation energy   -0.324 eV per atom


Record 8
The following is a DFT calculation (GGA-PBE) of an optimized crystal structure of K2MoSe.

```
K2MoSe
1.0
-2.554 2.554 4.798
2.554 -2.554 4.798
2.554 2.554 -4.798
K Mo Se
2 1 1
Cartesian
0.000 0.000 0.000
0.000 2.554 2.399
2.554 0.000 2.399
0.000 0.000 4.798
```

Values from the calculation:
Formation energy from raw total energies   60.9 kJ/mol of atoms
ΔE to the lowest computed polymorph   0.399 eV per atom
SG   No. 119


Q: What is the formula in the third record?
A: TbSmY2